No. 1
A relaxed MnNb2H crystal. Source: the Alexandria database, functional PBE-GGA.

a b c (Å): 5.8074 5.8074 6.2285
angles (deg): 90.00 90.00 90.00
Space group I-42d (No. 122)
Inequivalent atoms, fractional coordinates:
Mn1 0.0000 0.0000 0.0000 (multiplicity 4)
Nb1 0.1876 0.2500 0.6250 (multiplicity 8)
H1 0.0000 0.0000 0.5000 (multiplicity 4)

Output
* size of the total moment: 0.0 μB per cell
* E above lowest polymorph: 0 meV/atom

No. 2
A relaxed Hf4PaN6 crystal. Source: the Alexandria database, functional PBE-GGA.

a b c (Å): 3.2145 10.6192 15.9818
angles (deg): 90.00 90.00 90.00
Space group Cmcm (No. 63)
Inequivalent atoms, fractional coordinates:
Hf1 0.0000 0.0970 0.1310 (multiplicity 8)
Hf2 0.0000 0.3626 0.0456 (multiplicity 8)
Pa1 0.0000 0.1582 0.7500 (multiplicity 4)
N1 0.0000 0.0000 0.0000 (multiplicity 4)
N2 0.0000 0.1902 0.2500 (multiplicity 4)
N3 0.0000 0.2682 0.5879 (multiplicity 8)
N4 0.0000 0.4603 0.1637 (multiplicity 8)

Output
* total DFT energy (no corrections): -118.39 eV per formula unit
* size of the total moment: 0.0 μB per cell

No. 3
A relaxed HgTe2Os2 crystal. Source: the Alexandria database, functional PBE-GGA.

a b c (Å): 5.1820 5.1820 8.3052
angles (deg): 90.00 90.00 90.00
Space group I4/mmm (No. 139)
Inequivalent atoms, fractional coordinates:
Hg1 0.0000 0.0000 0.0000 (multiplicity 2)
Te1 0.0000 0.5000 0.2500 (multiplicity 4)
Os1 0.0000 0.0000 0.3556 (multiplicity 4)

Output
* total DFT energy (no corrections): -25.84 eV per formula unit
* size of the total moment: 0.0 μB per cell

No. 4
A relaxed TbZnPd crystal. Source: the Alexandria database, functional PBE-GGA.

a b c (Å): 7.3206 7.3206 3.8759
angles (deg): 90.00 90.00 120.00
Space group P-62m (No. 189)
Inequivalent atoms, fractional coordinates:
Tb1 0.0000 0.4055 0.0000 (multiplicity 3)
Zn1 0.0000 0.7496 0.5000 (multiplicity 3)
Pd1 0.0000 0.0000 0.0000 (multiplicity 1)
Pd2 0.3333 0.6667 0.5000 (multiplicity 2)

Output
* size of the total moment: 0.0 μB per cell
* E_form: -0.743 eV per atom

No. 5
A relaxed SrFe2Au crystal. Source: the Alexandria database, functional PBE-GGA.

a b c (Å): 7.4869 4.3220 6.0488
angles (deg): 90.00 114.48 90.00
Space group Cm (No. 8)
Inequivalent atoms, fractional coordinates:
Sr1 0.0000 0.0000 0.0000 (multiplicity 2)
Fe1 0.3062 0.5000 0.4193 (multiplicity 2)
Fe2 0.4952 0.0000 0.4866 (multiplicity 2)
Au1 0.1941 0.0000 0.5827 (multiplicity 2)

Output
* size of the total moment: 9.5 μB per cell
* E_form: 0.146 eV per atom

No. 6
A relaxed CaAc2Al crystal. Source: the Alexandria database, functional PBE-GGA.

a b c (Å): 3.9991 3.9991 9.4305
angles (deg): 90.00 90.00 90.00
Space group P4/mmm (No. 123)
Inequivalent atoms, fractional coordinates:
Ca1 0.0000 0.0000 0.0000 (multiplicity 1)
Ac1 0.5000 0.5000 0.3014 (multiplicity 2)
Al1 0.0000 0.0000 0.5000 (multiplicity 1)

Output
* size of the total moment: 0.0 μB per cell
* E_form: -0.085 eV per atom
* E above lowest polymorph: 0 meV/atom